(1)
VASP calculation (PBE) on CuCN3 after structural relaxation.

Cell: 3.695 3.695 3.695 Å, 90.00 90.00 90.00°
Fractional positions:
Cu  0.000  0.000  0.000
C  0.500  0.500  0.500
N  0.000  0.000  0.500
N  0.000  0.500  0.000
N  0.500  0.000  0.000

Calculated values
N(E_F): 6.18 states/eV per cell
E: -20.82 eV/cell
SG: No. 221
total magnetization: 0.0 μB/f.u.
ρ: 3.87 g cm⁻³
crystal system: cubic

=====

(2)
VASP calculation (PBE) on TeIr2Rh after structural relaxation.

Cell: 2.953 2.953 7.636 Å, 90.00 90.00 90.00°
Fractional positions:
Te  0.000  0.000  0.000
Ir  0.500  0.500  0.268
Ir  0.500  0.500  0.732
Rh  0.000  0.000  0.500

Calculated values
N(E_F): 4.97 states/eV per cell
E: -26.27 eV/cell
SG: No. 123
total magnetization: 0.0 μB/f.u.
ρ: 15.34 g cm⁻³
crystal system: tetragonal

=====

(3)
VASP calculation (PBE) on Tm6TlHg6 after structural relaxation.

Cell: 6.199 6.199 10.344 Å, 90.00 90.00 120.00°
Fractional positions:
Tm  0.000  0.000  0.169
Tm  0.000  0.000  0.831
Tm  0.333  0.667  0.000
Tm  0.333  0.667  0.500
Tm  0.667  0.333  0.000
Tm  0.667  0.333  0.500
Tl  0.000  0.000  0.500
Hg  0.000  0.500  0.251
Hg  0.000  0.500  0.749
Hg  0.500  0.000  0.251
Hg  0.500  0.000  0.749
Hg  0.500  0.500  0.251
Hg  0.500  0.500  0.749

Calculated values
N(E_F): 14.32 states/eV per cell
SG: No. 191
energy of formation from the pure elements: -243 meV per atom
total magnetization: 1.1 μB/f.u.
ρ: 11.68 g cm⁻³
crystal system: hexagonal

=====

(4)
VASP calculation (PBE) on Ac3DyIr2 after structural relaxation.

Cell: 9.213 9.213 12.939 Å, 122.78 122.78 27.53°
Fractional positions:
Ac  0.058  0.058  0.195
Ac  0.185  0.185  0.562
Ac  0.318  0.318  0.955
Ac  0.682  0.682  0.045
Ac  0.815  0.815  0.438
Ac  0.942  0.942  0.805
Dy  0.445  0.445  0.310
Dy  0.555  0.555  0.690
Ir  0.125  0.125  0.856
Ir  0.376  0.376  0.621
Ir  0.624  0.624  0.379
Ir  0.875  0.875  0.144

Calculated values
N(E_F): 10.92 states/eV per cell
SG: No. 12
energy of formation from the pure elements: -573 meV per atom
total magnetization: 0.0 μB/f.u.
ρ: 9.68 g cm⁻³
crystal system: monoclinic

=====

(5)
VASP calculation (PBE) on Sm3TlCo after structural relaxation.

Cell: 5.164 5.294 10.296 Å, 90.00 90.11 90.00°
Fractional positions:
Sm  0.001  0.250  0.112
Sm  0.001  0.750  0.340
Sm  0.498  0.750  0.631
Sm  0.502  0.250  0.369
Sm  0.999  0.250  0.660
Sm  0.999  0.750  0.888
Tl  0.500  0.250  0.882
Tl  0.500  0.750  0.118
Co  0.002  0.250  0.384
Co  0.998  0.750  0.616

Calculated values
N(E_F): 9.49 states/eV per cell
distance to the lowest polymorph of the same formula: 41.5 meV per atom
SG: No. 11
energy of formation from the pure elements: -134 meV per atom
total magnetization: 0.0 μB/f.u.
ρ: 8.43 g cm⁻³
crystal system: monoclinic